Crystalline PmAl2Ag9 at its relaxed geometry. Source: the Alexandria database, functional PBE-GGA.

Geometry as POSCAR:
```
PmAl2Ag9
1.0
-4.982 4.897 1.453
-6.617 0.183 -5.787
-6.500 -2.939 5.140
Ag Al Pm
18 4 2
direct
0.072 0.923 0.320
0.005 0.923 0.680
0.000 0.000 0.000
0.607 0.077 0.320
0.072 0.320 0.923
0.143 0.423 0.180
0.315 0.077 0.680
0.750 0.500 0.500
0.435 0.820 0.423
0.435 0.423 0.820
0.745 0.577 0.820
0.143 0.180 0.423
0.678 0.180 0.577
0.315 0.680 0.077
0.005 0.680 0.923
0.745 0.820 0.577
0.678 0.577 0.180
0.607 0.320 0.077
0.875 0.250 0.250
0.375 0.750 0.750
0.875 0.750 0.250
0.875 0.250 0.750
0.500 0.000 0.000
0.250 0.500 0.500
```

---

Crystalline Pm2AlAg at its relaxed geometry. Source: the Alexandria database, functional PBE-GGA.

Geometry as POSCAR:
```
Pm2AlAg
1.0
-2.652 1.339 -4.376
-2.042 -3.760 -3.109
-5.240 -0.684 -0.230
Ag Pm Al
1 2 1
direct
0.500 0.500 0.500
0.750 0.750 0.750
0.250 0.250 0.250
0.000 0.000 0.000
```

Properties
Excess energy over the best structure of this formula in the dataset: 28 meV/atom

---

Crystalline Pm2Al3Ag2 at its relaxed geometry. Source: the Alexandria database, functional PBE-GGA.

Geometry as POSCAR:
```
Pm2Al3Ag2
1.0
4.256 0.000 -1.015
0.000 7.465 0.000
0.103 0.000 9.865
Al Pm Ag
6 4 4
direct
0.559 0.076 0.118
0.441 0.924 0.882
0.775 0.250 0.551
0.225 0.750 0.449
0.441 0.576 0.882
0.559 0.424 0.118
0.946 0.250 0.892
0.843 0.750 0.687
0.054 0.750 0.108
0.157 0.250 0.313
0.311 0.445 0.622
0.689 0.945 0.378
0.689 0.555 0.378
0.311 0.055 0.622
```

Properties
Excess energy over the best structure of this formula in the dataset: 19 meV/atom

---

no.,E_form (eV/atom),final energy (eV/atom)
1,-0.11,-3.265
2,-0.30,-4.319
3,-0.36,-4.132